## Dy4HgPd7 (PBE)

Data for a geometry-optimized Dy4HgPd7 structure.

Unit cell a=10.766 b=5.241 c=10.399 alpha=90.00 beta=119.46 gamma=90.00
Space group C2/m (No. 12)
One atom of each set of equivalent atoms:
Dy  0.096  0.000  0.289 (multiplicity 4)
Dy  0.208  0.500  0.132 (multiplicity 4)
Hg  0.000  0.500  0.500 (multiplicity 2)
Pd  0.000  0.000  0.500 (multiplicity 2)
Pd  0.076  0.500  0.814 (multiplicity 4)
Pd  0.132  0.000  0.020 (multiplicity 4)
Pd  0.210  0.500  0.404 (multiplicity 4)

Calculated values
- formation energy from the elements (eV per atom) = -0.637
- final energy (eV per cell) = -125.4

## DyHgPd3 (PBE)

Data for a geometry-optimized DyHgPd3 structure.

Unit cell a=4.194 b=8.558 c=5.743 alpha=90.00 beta=90.00 gamma=90.00
Space group Pmc2_1 (No. 26)
One atom of each set of equivalent atoms:
Dy  0.000  0.166  0.000 (multiplicity 2)
Hg  0.500  0.360  0.289 (multiplicity 2)
Pd  0.000  0.167  0.507 (multiplicity 2)
Pd  0.500  0.006  0.255 (multiplicity 2)
Pd  0.500  0.326  0.772 (multiplicity 2)

Calculated values
- formation energy from the elements (eV per atom) = -0.554
- final energy (eV per cell) = -46.5

## Dy2Hg3Pd (PBE)

Data for a geometry-optimized Dy2Hg3Pd structure.

Unit cell a=3.435 b=4.815 c=8.455 alpha=90.00 beta=90.00 gamma=90.00
Space group Pmm2 (No. 25)
One atom of each set of equivalent atoms:
Dy  0.000  0.000  0.000 (multiplicity 1)
Dy  0.000  0.500  0.444 (multiplicity 1)
Hg  0.500  0.000  0.622 (multiplicity 1)
Hg  0.500  0.500  0.135 (multiplicity 1)
Hg  0.500  0.500  0.798 (multiplicity 1)
Pd  0.500  0.000  0.296 (multiplicity 1)

Calculated values
- formation energy from the elements (eV per atom) = -0.513
- final energy (eV per cell) = -18.4

## Dy2Hg3Pd4 (PBE)

Data for a geometry-optimized Dy2Hg3Pd4 structure.

Unit cell a=9.056 b=4.423 c=9.015 alpha=90.00 beta=101.89 gamma=90.00
Space group C2/m (No. 12)
One atom of each set of equivalent atoms:
Dy  0.171  0.000  0.218 (multiplicity 4)
Hg  0.000  0.500  0.000 (multiplicity 2)
Hg  0.161  0.000  0.569 (multiplicity 4)
Pd  0.008  0.500  0.332 (multiplicity 4)
Pd  0.165  0.000  0.895 (multiplicity 4)

Calculated values
- formation energy from the elements (eV per atom) = -0.597
- final energy (eV per cell) = -72.5

## DyHg2Pd7 (PBE)

Data for a geometry-optimized DyHg2Pd7 structure.

Unit cell a=7.295 b=14.080 c=4.381 alpha=90.00 beta=90.00 gamma=90.00
Space group Cmmm (No. 65)
One atom of each set of equivalent atoms:
Dy  0.000  0.000  0.000 (multiplicity 2)
Hg  0.000  0.299  0.500 (multiplicity 4)
Pd  0.000  0.188  0.000 (multiplicity 4)
Pd  0.000  0.500  0.500 (multiplicity 2)
Pd  0.183  0.102  0.500 (multiplicity 8)

Calculated values
- formation energy from the elements (eV per atom) = -0.006
- final energy (eV per cell) = -83.2

## DyHg2Pd (PBE)

Data for a geometry-optimized DyHg2Pd structure.

Unit cell a=6.981 b=6.981 c=6.981 alpha=90.00 beta=90.00 gamma=90.00
Space group Fm-3m (No. 225)
One atom of each set of equivalent atoms:
Dy  0.000  0.000  0.000 (multiplicity 4)
Hg  0.250  0.250  0.250 (multiplicity 8)
Pd  0.000  0.000  0.500 (multiplicity 4)

Calculated values
- formation energy from the elements (eV per atom) = -0.453
- final energy (eV per cell) = -48.8

## Dy2Hg3Pd2 (PBE)

Data for a geometry-optimized Dy2Hg3Pd2 structure.

Unit cell a=9.774 b=4.468 c=7.442 alpha=90.00 beta=108.72 gamma=90.00
Space group C2/m (No. 12)
One atom of each set of equivalent atoms:
Dy  0.138  0.000  0.279 (multiplicity 4)
Hg  0.000  0.500  0.500 (multiplicity 2)
Hg  0.128  0.500  0.941 (multiplicity 4)
Pd  0.159  0.000  0.688 (multiplicity 4)

Calculated values
- formation energy from the elements (eV per atom) = -0.580
- final energy (eV per cell) = -49.1

## Dy2Hg2Pd (PBE)

Data for a geometry-optimized Dy2Hg2Pd structure.

Unit cell a=3.599 b=19.527 c=3.481 alpha=90.00 beta=90.00 gamma=90.00
Space group Cmmm (No. 65)
One atom of each set of equivalent atoms:
Dy  0.000  0.087  0.000 (multiplicity 4)
Hg  0.000  0.310  0.500 (multiplicity 4)
Pd  0.000  0.500  0.500 (multiplicity 2)

Calculated values
- formation energy from the elements (eV per atom) = -0.517
- final energy (eV per cell) = -35.2

## Dy3Hg4Pd2 (PBE)

Data for a geometry-optimized Dy3Hg4Pd2 structure.

Unit cell a=14.218 b=11.099 c=5.290 alpha=90.00 beta=100.28 gamma=90.00
Space group C2/c (No. 15)
One atom of each set of equivalent atoms:
Dy  0.000  0.109  0.250 (multiplicity 4)
Dy  0.167  0.364  0.083 (multiplicity 8)
Hg  0.058  0.365  0.530 (multiplicity 8)
Hg  0.216  0.111  0.362 (multiplicity 8)
Pd  0.111  0.129  0.814 (multiplicity 8)

Calculated values
- formation energy from the elements (eV per atom) = -0.521
- final energy (eV per cell) = -120.4

## Dy3HgPd4 (PBE)

Data for a geometry-optimized Dy3HgPd4 structure.

Unit cell a=9.739 b=6.950 c=4.869 alpha=90.00 beta=90.00 gamma=90.00
Space group Pmma (No. 51)
One atom of each set of equivalent atoms:
Dy  0.000  0.000  0.000 (multiplicity 2)
Dy  0.250  0.000  0.499 (multiplicity 2)
Dy  0.250  0.500  0.499 (multiplicity 2)
Hg  0.000  0.500  0.000 (multiplicity 2)
Pd  0.000  0.243  0.500 (multiplicity 4)
Pd  0.250  0.243  0.999 (multiplicity 4)

Calculated values
- formation energy from the elements (eV per atom) = -0.778
- final energy (eV per cell) = -82.2

## DyHgPd4 (PBE)

Data for a geometry-optimized DyHgPd4 structure.

Unit cell a=7.119 b=8.682 c=4.057 alpha=90.00 beta=90.00 gamma=90.00
Space group Cmmm (No. 65)
One atom of each set of equivalent atoms:
Dy  0.000  0.000  0.000 (multiplicity 2)
Hg  0.000  0.500  0.000 (multiplicity 2)
Pd  0.000  0.248  0.500 (multiplicity 4)
Pd  0.250  0.250  0.000 (multiplicity 4)

Calculated values
- formation energy from the elements (eV per atom) = -0.314
- final energy (eV per cell) = -55.1

## DyHg3Pd6 (PBE)

Data for a geometry-optimized DyHg3Pd6 structure.

Unit cell a=8.862 b=4.316 c=9.487 alpha=90.00 beta=95.43 gamma=90.00
Space group P2_1/m (No. 11)
One atom of each set of equivalent atoms:
Dy  0.063  0.250  0.375 (multiplicity 2)
Hg  0.246  0.250  0.016 (multiplicity 2)
Hg  0.344  0.750  0.807 (multiplicity 2)
Hg  0.448  0.250  0.603 (multiplicity 2)
Pd  0.054  0.750  0.910 (multiplicity 2)
Pd  0.148  0.250  0.701 (multiplicity 2)
Pd  0.152  0.750  0.209 (multiplicity 2)
Pd  0.249  0.750  0.506 (multiplicity 2)
Pd  0.362  0.250  0.302 (multiplicity 2)
Pd  0.452  0.750  0.100 (multiplicity 2)

Calculated values
- formation energy from the elements (eV per atom) = -0.393
- final energy (eV per cell) = -81.2